# NdHo14Pu

NdHo14Pu after structural relaxation (PBE-GGA, Alexandria via LeMat-Bulk).

Cell: 7.061 7.061 9.936 Å, 90.00 90.00 90.00°
Space group P4/mmm (No. 123)
Symmetry-distinct sites (fractional):
1 Nd 0.000 0.000 0.000 x1
2 Ho 0.000 0.000 0.500 x1
3 Ho 0.000 0.500 0.000 x2
4 Ho 0.000 0.500 0.500 x2
5 Ho 0.252 0.252 0.250 x8
6 Ho 0.500 0.500 0.500 x1
7 Pu 0.500 0.500 0.000 x1

N(E_F) ... 1.693 states/eV/atom
E_form ... 40 meV per atom

---

# CdGa5Ag4

CdGa5Ag4 after structural relaxation (PBE-GGA, Alexandria via LeMat-Bulk).

Cell: 9.067 9.077 4.764 Å, 90.00 90.00 90.00°
Space group Pmmn (No. 59, origin choice 2)
Symmetry-distinct sites (fractional):
1 Cd 0.250 0.250 0.212 x2
2 Ga 0.072 0.501 0.262 x8
3 Ga 0.250 0.750 0.415 x2
4 Ag 0.066 0.750 0.950 x4
5 Ag 0.250 0.006 0.753 x4

N(E_F) ... 0.316 states/eV/atom
E_form ... 59 meV per atom

---

Among the records above, which one has the lowest E_form? NdHo14Pu

---

E_form of number 1 (NdHo14Pu)? 40 meV per atom

---

Which of these has the lowest E_form? NdHo14Pu